1.
BeCuNi2P: relaxed, PBE.

Structure (extended XYZ):
```
5
Lattice="-3.328 1.528 -2.386 -2.604 -1.725 2.529 -0.063 3.640 2.419" Properties=species:S:1:pos:R:3 pbc="T T T"
Cu 0.000 0.000 0.000
P -1.302 -0.863 1.264
Ni -0.032 1.820 1.209
Ni -1.664 0.764 -1.193
Be -2.998 1.721 1.281
```

Output
- Electronic total energy: -19.60 eV/cell
- Energy of formation from the pure elements: 1039 meV per atom
- Space group: P4/mmm, No. 123
- Total moment: 0.2 Bohr magnetons per cell
- Theoretical density: 4.8 g/cm³
- DOS(E_F): 1.13 states/eV/atom



2.
Pa2BeCu3Ni12: relaxed, PBE.

Structure (extended XYZ):
```
18
Lattice="-6.559 -2.758 4.039 -4.259 -6.985 0.050 -1.362 -5.916 5.485" Properties=species:S:1:pos:R:3 pbc="T T T"
Pa -7.921 -10.183 6.226
Ni -4.480 -7.951 3.953
Ni -8.697 -10.354 8.643
Cu -0.681 -2.958 2.742
Cu -3.279 -1.379 2.019
Ni -5.368 -6.318 5.493
Ni -6.487 -6.731 3.394
Ni -5.693 -8.927 6.180
Cu -2.130 -3.493 0.025
Ni -7.700 -7.707 5.621
Ni -6.812 -9.340 4.080
Ni -3.483 -5.305 0.931
Ni -10.284 -10.939 5.665
Ni -1.896 -4.719 3.909
Pa -4.260 -5.476 3.348
Ni -7.437 -12.670 6.457
Ni -4.743 -2.989 3.117
Be 0.000 0.000 0.000
```

Output
- Electronic total energy: -102.99 eV/cell
- Energy of formation from the pure elements: 77 meV per atom
- Space group: R-3m, No. 166
- Total moment: 0.0 Bohr magnetons per cell
- Theoretical density: 9.1 g/cm³
- DOS(E_F): 0.67 states/eV/atom



3.
BeCuNiPd2: relaxed, PBE.

Structure (extended XYZ):
```
5
Lattice="4.572 0.000 0.000 0.000 4.572 0.000 0.000 0.000 3.804" Properties=species:S:1:pos:R:3 pbc="T T T"
Be 0.000 0.000 1.902
Pd 0.000 2.286 0.000
Pd 2.286 0.000 0.000
Cu 2.286 2.286 1.902
Ni 0.000 0.000 0.000
```

Output
- Electronic total energy: -20.41 eV/cell
- Energy of formation from the pure elements: 717 meV per atom
- Space group: P4/mmm, No. 123
- Total moment: 0.0 Bohr magnetons per cell
- Theoretical density: 7.2 g/cm³
- DOS(E_F): 0.71 states/eV/atom



4.
BeCuNiPd: relaxed, PBE.

Structure (extended XYZ):
```
4
Lattice="2.739 0.000 0.000 0.000 2.739 0.000 0.000 0.000 6.062" Properties=species:S:1:pos:R:3 pbc="T T T"
Cu 0.000 0.000 0.564
Be 0.000 0.000 3.341
Pd 1.369 1.369 4.787
Ni 1.369 1.369 2.127
```

Output
- Electronic total energy: -19.97 eV/cell
- Energy of formation from the pure elements: -293 meV per atom
- Space group: P4mm, No. 99
- Total moment: 0.0 Bohr magnetons per cell
- Excess energy over the best structure of this formula in the dataset: 0.0 kJ/mol of atoms
- Theoretical density: 8.7 g/cm³
- DOS(E_F): 0.24 states/eV/atom



5.
BeCuNiPd: relaxed, PBE.

Structure (extended XYZ):
```
4
Lattice="4.027 0.000 0.000 2.014 3.488 0.000 2.014 1.163 3.288" Properties=species:S:1:pos:R:3 pbc="T T T"
Cu 2.014 1.163 0.822
Be 6.041 3.488 2.466
Pd 0.000 0.000 0.000
Ni 4.027 2.325 1.644
```

Output
- Electronic total energy: -19.62 eV/cell
- Energy of formation from the pure elements: -207 meV per atom
- Space group: F-43m, No. 216
- Total moment: 0.0 Bohr magnetons per cell
- Excess energy over the best structure of this formula in the dataset: 8.3 kJ/mol of atoms
- Theoretical density: 8.5 g/cm³
- DOS(E_F): 0.08 states/eV/atom



6.
Pm2Be3Cu12Ni: relaxed, PBE.

Structure (extended XYZ):
```
18
Lattice="7.173 -0.234 -0.166 3.339 6.353 -0.166 3.339 1.943 6.050" Properties=species:S:1:pos:R:3 pbc="T T T"
Cu 10.505 3.879 5.121
Be 1.669 0.972 3.025
Cu 8.689 2.567 1.820
Cu 10.505 6.115 1.968
Cu 7.328 4.265 0.386
Cu 5.290 0.843 0.598
Cu 7.328 1.774 3.898
Cu 6.523 3.797 5.333
Ni 0.000 0.000 0.000
Cu 3.345 1.947 3.751
Cu 8.561 7.219 5.121
Be 1.669 3.176 -0.083
Pm 8.439 4.912 3.484
Be 3.586 -0.117 -0.083
Pm 5.412 3.150 2.234
Cu 5.162 5.496 3.898
Cu 3.345 4.183 0.598
Cu 6.523 6.288 1.820
```

Output
- Electronic total energy: -69.58 eV/cell
- Energy of formation from the pure elements: 335 meV per atom
- Space group: R-3m, No. 166
- Total moment: 0.0 Bohr magnetons per cell
- Theoretical density: 6.6 g/cm³
- DOS(E_F): 0.42 states/eV/atom



7.
Pr2Be3Cu12Ni: relaxed, PBE.

Structure (extended XYZ):
```
18
Lattice="7.244 -0.195 -0.138 3.408 6.395 -0.138 3.408 1.983 6.081" Properties=species:S:1:pos:R:3 pbc="T T T"
Ni 0.000 0.000 0.000
Cu 3.374 4.225 0.601
Cu 3.374 1.964 3.789
Cu 8.718 7.336 5.203
Be 1.704 3.197 -0.069
Be 3.622 -0.098 -0.069
Cu 6.631 6.361 1.862
Cu 10.685 3.958 5.203
Cu 5.340 0.847 0.601
Cu 8.806 2.625 1.862
Pr 8.590 5.000 3.547
Pr 5.468 3.183 2.258
Be 1.704 0.992 3.041
Cu 6.631 3.860 5.388
Cu 5.253 5.558 3.942
Cu 7.427 1.823 3.942
Cu 10.685 6.219 2.015
Cu 7.427 4.323 0.417
```

Output
- Electronic total energy: -69.70 eV/cell
- Energy of formation from the pure elements: 332 meV per atom
- Space group: R-3m, No. 166
- Total moment: 0.0 Bohr magnetons per cell
- Theoretical density: 6.5 g/cm³
- DOS(E_F): 0.42 states/eV/atom



8.
Pr2BeCu3Ni12: relaxed, PBE.

Structure (extended XYZ):
```
18
Lattice="0.942 4.818 7.368 3.188 -0.740 8.227 6.380 3.370 5.130" Properties=species:S:1:pos:R:3 pbc="T T T"
Ni 3.576 2.983 9.957
Ni 4.821 4.586 8.749
Ni 5.690 2.862 11.976
Cu 0.471 2.409 3.684
Ni 5.997 4.942 16.303
Pr 3.588 2.543 7.076
Be 0.000 0.000 0.000
Cu 3.190 1.685 2.565
Ni 7.916 7.412 14.442
Ni 5.697 2.419 9.084
Ni 6.934 4.465 10.768
Ni 1.245 3.376 5.767
Ni 4.513 2.507 4.422
Pr 6.922 4.906 13.649
Cu 1.594 -0.370 4.113
Ni 4.814 5.030 11.641
Ni 2.595 0.037 6.283
Ni 9.265 4.072 14.958
```

Output
- Electronic total energy: -91.36 eV/cell
- Energy of formation from the pure elements: 200 meV per atom
- Space group: R-3m, No. 166
- Total moment: 0.0 Bohr magnetons per cell
- Theoretical density: 7.6 g/cm³
- DOS(E_F): 1.28 states/eV/atom



9.
Pr2Be3CuNi12: relaxed, PBE.

Structure (extended XYZ):
```
18
Lattice="-3.358 5.237 3.087 -6.931 -0.304 -0.305 -3.185 -1.595 5.962" Properties=species:S:1:pos:R:3 pbc="T T T"
Ni -6.952 -0.784 3.995
Be -1.592 -0.798 2.981
Ni -5.123 0.278 0.969
Ni -10.188 3.693 4.702
Be -3.466 -0.152 -0.152
Ni -6.424 0.235 6.385
Ni -3.286 -0.355 4.042
Ni -6.522 4.123 4.749
Cu 0.000 0.000 0.000
Ni -8.556 0.970 2.819
Ni -10.104 0.344 6.111
Ni -3.371 2.995 2.632
Pr -5.256 1.302 3.411
Ni -8.352 3.060 7.774
Ni -7.050 3.104 2.358
Ni -4.918 2.369 5.925
Pr -8.218 2.036 5.333
Be -1.679 2.619 1.543
```

Output
- Electronic total energy: -89.20 eV/cell
- Energy of formation from the pure elements: 278 meV per atom
- Space group: R-3m, No. 166
- Total moment: 0.0 Bohr magnetons per cell
- Theoretical density: 6.9 g/cm³
- DOS(E_F): 0.56 states/eV/atom



10.
Be4CuNiPt2: relaxed, PBE.

Structure (extended XYZ):
```
8
Lattice="3.909 0.000 0.000 1.954 3.385 0.000 1.954 1.128 6.368" Properties=species:S:1:pos:R:3 pbc="T T T"
Pt 5.863 3.385 4.781
Pt 1.954 1.128 1.587
Be 1.954 1.128 3.945
Be 3.909 2.257 5.520
Be 5.863 3.385 2.423
Ni 3.909 2.257 3.184
Cu 0.000 0.000 0.000
Be 3.909 2.257 0.848
```

Output
- Electronic total energy: -41.28 eV/cell
- Energy of formation from the pure elements: -552 meV per atom
- Space group: R-3m, No. 166
- Total moment: 0.0 Bohr magnetons per cell
- Theoretical density: 10.8 g/cm³
- DOS(E_F): 0.64 states/eV/atom



11.
BeCuNi2S: relaxed, PBE.

Structure (extended XYZ):
```
5
Lattice="4.343 0.000 0.000 0.000 3.887 0.000 0.000 0.000 4.343" Properties=species:S:1:pos:R:3 pbc="T T T"
Ni 2.171 0.000 0.000
S 2.171 1.943 2.171
Ni 0.000 0.000 2.171
Cu 0.000 0.000 0.000
Be 0.000 1.943 0.000
```

Output
- Electronic total energy: -18.94 eV/cell
- Space group: P4/mmm, No. 123
- Total moment: 0.0 Bohr magnetons per cell
- E_form (uncorrected): 0.91 eV/atom
- Theoretical density: 5.0 g/cm³
- DOS(E_F): 0.83 states/eV/atom



12.
Sc2Be2CuNi5: relaxed, PBE.

Structure (extended XYZ):
```
20
Lattice="-2.819 1.289 1.106 0.843 -4.424 7.303 4.347 6.539 3.459" Properties=species:S:1:pos:R:3 pbc="T T T"
Ni 0.303 -2.093 8.107
Be 2.778 3.516 2.983
Sc 1.355 -1.832 5.587
Ni 2.068 5.497 3.762
Ni 1.295 3.079 4.609
Ni 0.764 3.914 2.283
Ni 1.076 0.325 7.259
Ni -0.941 0.137 2.338
Sc 3.835 3.947 5.175
Ni -0.988 -1.568 4.205
Ni 3.312 3.266 9.530
Cu 0.000 0.000 0.000
Cu 2.595 1.058 5.381
Ni 2.167 2.800 7.157
Be 4.360 3.050 7.558
Sc 3.647 0.817 8.341
Sc 1.543 1.298 2.421
Be 2.412 -1.401 7.780
Ni 0.204 0.604 4.712
Be 0.830 -0.935 3.204
```

Output
- Electronic total energy: -114.26 eV/cell
- Energy of formation from the pure elements: -401 meV per atom
- Space group: P4/mbm, No. 127
- Total moment: 0.0 Bohr magnetons per cell
- Theoretical density: 6.4 g/cm³
- DOS(E_F): 0.29 states/eV/atom